# 1
Here is an optimized crystal structure of Li2Pu3Pd4 from Alexandria. Energies are from PBE-GGA.

## Properties
N(E_F): 23.87 states/eV/f.u.
ΔE_f: -2.89 eV/f.u.
Space group: P-3m1 (164)
Uncorrected energy: -7.832 eV/atom
Theoretical density: 11.26 g cm⁻³

Cell lengths 4.688, 4.688, 9.077 Å; angles 90.00, 90.00, 120.00 degrees
Fractional positions:
Li 0.333 0.667 0.201
Li 0.667 0.333 0.799
Pu 0.000 0.000 0.000
Pu 0.333 0.667 0.561
Pu 0.667 0.333 0.439
Pd 0.000 0.000 0.325
Pd 0.000 0.000 0.675
Pd 0.333 0.667 0.880
Pd 0.667 0.333 0.120

# 2
Here is an optimized crystal structure of LiPu2Pd from Alexandria. Energies are from PBE-GGA.

## Properties
N(E_F): 7.14 states/eV/f.u.
ΔE_f: 0.91 eV/f.u.
Space group: P4/mmm (123)
Uncorrected energy: -8.716 eV/atom
Theoretical density: 15.58 g cm⁻³
Energy above the most stable polymorph in this dataset: 240.3 meV per atom

Cell lengths 3.482, 3.482, 5.287 Å; angles 90.00, 90.00, 90.00 degrees
Fractional positions:
Li 0.000 0.000 0.000
Pu 0.000 0.500 0.500
Pu 0.500 0.000 0.500
Pd 0.500 0.500 0.000

# 3
Here is an optimized crystal structure of LiPuPd from Alexandria. Energies are from PBE-GGA.

## Properties
N(E_F): 3.64 states/eV/f.u.
ΔE_f: -0.91 eV/f.u.
Space group: P2_1/m (11)
Uncorrected energy: -7.450 eV/atom
Theoretical density: 11.61 g cm⁻³
Energy above the most stable polymorph in this dataset: 2.7 meV per atom

Cell lengths 3.063, 3.537, 9.454 Å; angles 90.00, 93.60, 90.00 degrees
Fractional positions:
Li 0.235 0.250 0.422
Li 0.765 0.750 0.578
Pu 0.151 0.250 0.080
Pu 0.849 0.750 0.920
Pd 0.296 0.250 0.720
Pd 0.704 0.750 0.280

# 4
Here is an optimized crystal structure of LiPu2Pd2 from Alexandria. Energies are from PBE-GGA.

## Properties
N(E_F): 6.49 states/eV/f.u.
ΔE_f: -0.20 eV/f.u.
Space group: C2/c (15)
Uncorrected energy: -8.234 eV/atom
Theoretical density: 13.47 g cm⁻³
Energy above the most stable polymorph in this dataset: 297.5 meV per atom

Cell lengths 6.029, 6.029, 6.195 Å; angles 100.46, 100.46, 52.33 degrees
Fractional positions:
Li 0.067 0.933 0.750
Li 0.933 0.067 0.250
Pu 0.361 0.482 0.351
Pu 0.482 0.361 0.851
Pu 0.518 0.639 0.149
Pu 0.639 0.518 0.649
Pd 0.176 0.210 0.021
Pd 0.210 0.176 0.521
Pd 0.790 0.824 0.479
Pd 0.824 0.790 0.979

# 5
Here is an optimized crystal structure of LiPuPd2 from Alexandria. Energies are from PBE-GGA.

## Properties
N(E_F): 13.56 states/eV/f.u.
ΔE_f: -1.51 eV/f.u.
Space group: R-3m (166)
Uncorrected energy: -7.035 eV/atom
Theoretical density: 10.19 g cm⁻³

Cell lengths 5.285, 5.285, 5.285 Å; angles 48.35, 48.35, 48.35 degrees
Fractional positions:
Li 0.000 0.000 0.000
Pu 0.500 0.500 0.500
Pd 0.279 0.279 0.279
Pd 0.721 0.721 0.721

# 6
Here is an optimized crystal structure of LiPuPd3 from Alexandria. Energies are from PBE-GGA.

## Properties
N(E_F): 16.30 states/eV/f.u.
ΔE_f: -1.76 eV/f.u.
Space group: P6_3/mmc (194)
Uncorrected energy: -6.716 eV/atom
Theoretical density: 10.90 g cm⁻³

Cell lengths 6.103, 6.103, 5.384 Å; angles 90.00, 90.00, 120.00 degrees
Fractional positions:
Li 0.000 0.000 0.000
Li 0.000 0.000 0.500
Pu 0.333 0.667 0.250
Pu 0.667 0.333 0.750
Pd 0.184 0.368 0.750
Pd 0.184 0.816 0.750
Pd 0.368 0.184 0.250
Pd 0.632 0.816 0.750
Pd 0.816 0.184 0.250
Pd 0.816 0.632 0.250

N(E_F) of number 5 (LiPuPd2)? 13.56 states/eV/f.u.

Among the records above, which one has the lowest N(E_F)? LiPuPd

Which of these has the lowest uncorrected energy? LiPu2Pd

Look up the theoretical density of the first one. 11.26 g cm⁻³